The following is a PBE calculation of a relaxed CrTcW2 crystal, from the Alexandria database.

Computed properties:
Formation energy = 0.345 eV per atom
Space-group type = R3m (160)
Energy above the lowest structure with this stoichiometry = 327 meV per atom

Geometry as CIF:
```
data_CrTcW2
_cell_length_a 9.2388
_cell_length_b 9.2388
_cell_length_c 9.2388
_cell_angle_alpha 17.17
_cell_angle_beta 17.17
_cell_angle_gamma 17.17
_symmetry_space_group_name_H-M 'P 1'
_symmetry_Int_Tables_number 1
_symmetry_space_group_name_Hall 'P 1'
loop_
_atom_site_label
_atom_site_type_symbol
_atom_site_fract_x
_atom_site_fract_y
_atom_site_fract_z
Cr1 Cr 0.4960 0.4960 0.4960
W1 W 0.0029 0.0029 0.0029
Tc1 Tc 0.7558 0.7558 0.7558
W2 W 0.2453 0.2453 0.2453
```


The following is a PBE calculation of a relaxed VIr2Pt crystal, from the Alexandria database.

Computed properties:
Formation energy = -0.305 eV per atom
Space-group type = Imma (74)

Geometry as CIF:
```
data_VIr2Pt
_cell_length_a 5.4874
_cell_length_b 5.3605
_cell_length_c 5.3605
_cell_angle_alpha 73.36
_cell_angle_beta 59.21
_cell_angle_gamma 59.21
_symmetry_space_group_name_H-M 'P 1'
_symmetry_Int_Tables_number 1
_symmetry_space_group_name_Hall 'P 1'
loop_
_atom_site_label
_atom_site_type_symbol
_atom_site_fract_x
_atom_site_fract_y
_atom_site_fract_z
V1 V 0.7500 0.7979 0.7021
V2 V 0.2500 0.2021 0.2979
Ir1 Ir 0.7086 0.2914 0.7914
Ir2 Ir 0.2914 0.7086 0.2086
Ir3 Ir 0.2086 0.2914 0.7914
Pt1 Pt 0.2500 0.7946 0.7054
Pt2 Pt 0.7500 0.2054 0.2946
Ir4 Ir 0.7914 0.7086 0.2086
```